InPd6W: optimized geometry, GGA-PBE.

Properties
The calculation puts the total magnetization at 0.55 Bohr magnetons per cell. The value obtained for the volume is 126.8 Å³/cell. For the total DFT energy (no corrections), the calculation gives -48.8 eV per cell.

a b c (Å): 3.978 3.978 8.013
angles (deg): 90.00 90.00 90.00
Last column: magnetic moment on the atom in μB.
Atoms (fractional coordinates):
Pd (0.000, 0.500, 0.264)  0.03
Pd (0.000, 0.500, 0.736)  0.03
W (0.000, 0.000, 0.500)  0.35
Pd (0.500, 0.500, 0.500)  0.01
Pd (0.500, 0.000, 0.736)  0.03
In (0.000, 0.000, 0.000)  0.00
Pd (0.500, 0.500, 0.000)  0.02
Pd (0.500, 0.000, 0.264)  0.03